Material: TbGaRu2
Method: DFT, GGA-PBE
State: relaxed

a b c (Å): 4.4499 4.4499 3.3904
angles (deg): 90.00 90.00 90.00
Closest atoms and distances in Å follow each position.
Space group P4/mmm (No. 123)
Symmetry-distinct sites (fractional):
Tb  0.0000  0.0000  0.0000  8 Ru 2.80
Ga  0.5000  0.5000  0.0000  8 Ru 2.80
Ru  0.0000  0.5000  0.5000  4 Tb 2.80, 4 Ga 2.80

Output
energy = -6.801 eV per atom

Material: Tb6GaRu2
Method: DFT, GGA-PBE
State: relaxed

a b c (Å): 9.9124 5.0601 9.1527
angles (deg): 90.00 100.15 90.00
Closest atoms and distances in Å follow each position.
Space group C2/m (No. 12)
Symmetry-distinct sites (fractional):
Tb  0.0388  0.0000  0.3350  1 Ga 3.02, 2 Ru 3.05, 4 Tb 3.08-3.24
Tb  0.1549  0.5000  0.8922  1 Ru 2.63
Tb  0.2161  0.5000  0.3371  3 Ru 2.78-3.05, 2 Tb 3.08
Ga  0.0000  0.0000  0.0000  6 Tb 3.02-3.20
Ru  0.1124  0.5000  0.6002  1 Ru 2.62, 2 Tb 2.63-2.78

Output
E above lowest polymorph = 114.7 meV/atom

Material: TbGa8Ru2
Method: DFT, GGA-PBE
State: relaxed

a b c (Å): 8.6952 10.2229 4.7912
angles (deg): 90.00 103.35 90.00
Closest atoms and distances in Å follow each position.
Space group C2/m (No. 12)
Symmetry-distinct sites (fractional):
Tb  0.0000  0.0000  0.0000  12 Ga 3.03-3.36
Ga  0.0000  0.2964  0.0000  2 Ru 2.40
Ga  0.1267  0.5000  0.7557  2 Ru 2.65, 5 Ga 2.72-2.89
Ga  0.2251  0.1279  0.6047  2 Ru 2.48-2.71, 3 Ga 2.61-2.76
Ru  0.0000  0.2826  0.5000  6 Ga 2.40-2.65

Output
energy = -4.609 eV per atom

Material: Tb2Ga3Ru
Method: DFT, GGA-PBE
State: relaxed

a b c (Å): 4.5413 5.4025 10.3834
angles (deg): 90.00 90.00 90.00
Closest atoms and distances in Å follow each position.
Space group Immm (No. 71)
Symmetry-distinct sites (fractional):
Tb  0.0000  0.0000  0.2003  6 Ga 2.82-3.08, 1 Ru 3.11
Ga  0.0000  0.5000  0.1207  1 Ga 2.51, 2 Ru 2.59
Ga  0.0000  0.5000  0.5000  2 Ru 2.70
Ru  0.0000  0.0000  0.5000  6 Ga 2.59-2.70

Output
energy = -4.895 eV per atom

Material: Tb3Ga3Ru
Method: DFT, GGA-PBE
State: relaxed

a b c (Å): 10.9584 4.2121 14.3790
angles (deg): 90.00 109.86 90.00
Closest atoms and distances in Å follow each position.
Space group C2/m (No. 12)
Symmetry-distinct sites (fractional):
Tb  0.0316  0.0000  0.3817  6 Ga 3.02-3.23, 4 Ru 3.02-3.34
Tb  0.1092  0.0000  0.9238  7 Ga 3.04-3.18
Tb  0.2424  0.0000  0.2363  6 Ga 3.01-3.23, 2 Ru 3.19
Ga  0.0358  0.5000  0.2326  1 Ga 2.63, 1 Ru 2.67
Ga  0.1084  0.5000  0.0760  2 Ga 2.63
Ga  0.1369  0.5000  0.5419  3 Ru 2.50-2.60
Ru  0.2364  0.5000  0.4018  4 Ga 2.50-2.67

Output
energy = -5.198 eV per atom

Material: Tb12Ga6Ru
Method: DFT, GGA-PBE
State: relaxed

a b c (Å): 12.8074 12.8074 11.9997
angles (deg): 90.00 90.00 120.00
Closest atoms and distances in Å follow each position.
Space group R-3 (No. 148, hexagonal axes)
Symmetry-distinct sites (fractional):
Tb  0.0367  0.2113  0.3933  4 Ga 2.89-3.11
Tb  0.0476  0.2006  0.8840  1 Ru 2.71, 2 Ga 2.98
Ga  0.0522  0.2703  0.6461  7 Tb 2.89-3.23
Ru  0.0000  0.0000  0.0000  6 Tb 2.71

Output
energy = -4.592 eV per atom

Material: Tb4GaRu
Method: DFT, GGA-PBE
State: relaxed

a b c (Å): 6.2040 7.9663 7.9793
angles (deg): 114.11 103.54 105.72
Closest atoms and distances in Å follow each position.
Space group P-1 (No. 2)
Symmetry-distinct sites (fractional):
Tb  0.0307  0.3668  0.2215  2 Ru 2.83-2.89, 2 Ga 3.13-3.15
Tb  0.2109  0.8540  0.2959  2 Ru 2.96, 2 Ga 3.08-3.13
Tb  0.3368  0.3671  0.6458  2 Ru 2.82-2.89, 2 Ga 3.13-3.15
Tb  0.3572  0.1461  0.9427  2 Ru 2.95-2.96, 2 Ga 3.08-3.13
Ga  0.3802  0.7608  0.6301  8 Tb 3.08-3.15
Ru  0.2503  0.5005  0.0002  8 Tb 2.82-2.96, 2 Ru 3.10

Output
energy = -5.516 eV per atom

Material: TbGa3Ru2
Method: DFT, GGA-PBE
State: relaxed

a b c (Å): 5.4098 5.4098 4.1245
angles (deg): 90.00 90.00 120.00
Closest atoms and distances in Å follow each position.
Space group P6/mmm (No. 191)
Symmetry-distinct sites (fractional):
Tb  0.0000  0.0000  0.0000  6 Ru 3.12, 12 Ga 3.40
Ga  0.0000  0.5000  0.5000  4 Ru 2.59, 4 Ga 2.70
Ru  0.3333  0.6667  0.0000  6 Ga 2.59

Output
energy = -5.819 eV per atom

Material: TbGa2Ru2
Method: DFT, GGA-PBE
State: relaxed

a b c (Å): 4.0099 4.0099 22.3966
angles (deg): 90.00 90.00 90.00
Closest atoms and distances in Å follow each position.
Space group I4/mmm (No. 139)
Symmetry-distinct sites (fractional):
Tb  0.0000  0.0000  0.1291  4 Ga 3.06, 8 Ru 3.15-3.37
Ga  0.0000  0.0000  0.3200  5 Ru 2.52-2.54
Ga  0.0000  0.5000  0.0000  4 Ru 2.51
Ru  0.0000  0.0000  0.4324  5 Ga 2.51-2.52
Ru  0.0000  0.5000  0.2500  4 Ga 2.54, 4 Ru 2.84

Output
energy = -6.274 eV per atom

Material: Tb5Ga2Ru
Method: DFT, GGA-PBE
State: relaxed

a b c (Å): 7.4944 11.8736 4.5790
angles (deg): 90.00 90.00 90.00
Closest atoms and distances in Å follow each position.
Space group Pbam (No. 55)
Symmetry-distinct sites (fractional):
Tb  0.0000  0.0000  0.0000  4 Ga 3.07, 4 Tb 3.42
Tb  0.1462  0.2918  0.0000  1 Ru 2.70
Tb  0.1851  0.5781  0.5000  2 Ru 2.83, 2 Ga 3.08-3.16
Ga  0.0724  0.8342  0.5000  9 Tb 3.07-3.42
Ru  0.0000  0.5000  0.0000  6 Tb 2.70-2.83

Output
energy = -5.261 eV per atom

Material: Tb4GaRu3
Method: DFT, GGA-PBE
State: relaxed

a b c (Å): 4.8770 4.8770 6.9778
angles (deg): 90.00 90.00 90.00
Closest atoms and distances in Å follow each position.
Space group P4/mmm (No. 123)
Symmetry-distinct sites (fractional):
Tb  0.0000  0.5000  0.2411  6 Ru 2.96-3.03, 2 Ga 3.03
Ga  0.0000  0.0000  0.5000  8 Tb 3.03
Ru  0.0000  0.0000  0.0000  8 Tb 2.96
Ru  0.5000  0.5000  0.0000  8 Tb 2.96
Ru  0.5000  0.5000  0.5000  8 Tb 3.03

Output
energy = -6.559 eV per atom

Material: TbGa4Ru
Method: DFT, GGA-PBE
State: relaxed

a b c (Å): 7.7363 4.0832 6.9316
angles (deg): 90.00 90.00 90.00
Closest atoms and distances in Å follow each position.
Space group Pmma (No. 51)
Symmetry-distinct sites (fractional):
Tb  0.2500  0.0000  0.1278  1 Ru 2.96, 12 Ga 3.03-3.27
Ga  0.0000  0.0000  0.5000  2 Ru 2.38
Ga  0.0642  0.5000  0.8228  2 Ru 2.64, 3 Ga 2.65-2.95
Ga  0.2500  0.5000  0.4512  2 Ru 2.67, 6 Ga 2.83-2.95
Ru  0.2500  0.0000  0.7005  6 Ga 2.38-2.64

Output
energy = -4.855 eV per atom

Material: Tb2Ga3Ru
Method: DFT, GGA-PBE
State: relaxed

a b c (Å): 10.5272 4.2460 7.1288
angles (deg): 90.00 130.59 90.00
Closest atoms and distances in Å follow each position.
Space group Cm (No. 8)
Symmetry-distinct sites (fractional):
Tb  0.0000  0.0000  0.0000  8 Ga 3.03-3.31, 3 Ru 3.05-3.08
Tb  0.1025  0.0000  0.6117  2 Ru 3.03, 9 Ga 3.03-3.30
Ga  0.2160  0.5000  0.3898  3 Ga 2.57-2.85, 1 Ru 2.77
Ga  0.3771  0.0000  0.1888  2 Ru 2.55, 2 Ga 2.84-2.85
Ga  0.3928  0.0000  0.6024  1 Ru 2.56, 3 Ga 2.57-2.84
Ru  0.2030  0.5000  0.9890  4 Ga 2.55-2.77

Output
energy = -5.196 eV per atom

Material: Tb2Ga5Ru
Method: DFT, GGA-PBE
State: relaxed

a b c (Å): 6.1511 6.1511 8.4981
angles (deg): 90.00 90.00 90.00
Closest atoms and distances in Å follow each position.
Space group I4mm (No. 107)
Symmetry-distinct sites (fractional):
Tb  0.0000  0.5000  0.0000  10 Ga 3.04-3.08
Ga  0.0000  0.0000  0.4909  1 Ru 2.43
Ga  0.2132  0.2132  0.2527  1 Ru 2.50, 3 Ga 2.62-2.75
Ru  0.0000  0.0000  0.7771  5 Ga 2.43-2.50

Output
energy = -4.647 eV per atom

Material: TbGa3Ru
Method: DFT, GGA-PBE
State: relaxed

a b c (Å): 6.4426 6.4426 6.4426
angles (deg): 90.00 90.00 90.00
Closest atoms and distances in Å follow each position.
Space group Pm-3m (No. 221)
Symmetry-distinct sites (fractional):
Tb  0.0000  0.0000  0.5000  10 Ga 2.96-3.22, 4 Ru 3.22
Ga  0.0000  0.0000  0.0000  6 Tb 3.22, 8 Ga 3.23
Ga  0.2893  0.2893  0.2893  3 Ru 2.68, 3 Ga 2.72, 3 Tb 2.96
Ru  0.0000  0.5000  0.5000  8 Ga 2.68

Output
E above lowest polymorph = 0.0 meV/atom

Material: TbGa3Ru3
Method: DFT, GGA-PBE
State: relaxed

a b c (Å): 6.6809 6.6809 6.6809
angles (deg): 90.00 90.00 90.00
Closest atoms and distances in Å follow each position.
Space group Pm-3n (No. 223)
Symmetry-distinct sites (fractional):
Tb  0.0000  0.0000  0.0000  12 Ru 3.73, 12 Ga 3.73
Ga  0.0000  0.2500  0.5000  4 Ru 2.36
Ru  0.0000  0.5000  0.2500  4 Ga 2.36

Output
energy = -5.610 eV per atom

Material: Tb4GaRu2
Method: DFT, GGA-PBE
State: relaxed

a b c (Å): 7.1267 7.2424 7.3616
angles (deg): 106.27 105.79 105.58
Closest atoms and distances in Å follow each position.
Space group P1 (No. 1)
Symmetry-distinct sites (fractional):
Tb  0.0000  0.0000  0.0000  3 Ru 2.88-3.22, 1 Ga 3.09
Tb  0.0255  0.1799  0.5867  2 Ru 2.83-2.99, 2 Ga 2.94-3.13
Tb  0.2705  0.5483  0.3232  3 Ru 2.77-3.09, 1 Ga 3.00
Tb  0.3810  0.9518  0.8028  3 Ru 2.76-2.79, 1 Ga 3.03
Tb  0.4435  0.1156  0.3976  2 Ru 2.76-2.89, 1 Ga 3.00
Tb  0.6294  0.7766  0.1712  4 Ru 2.80-3.11, 2 Ga 2.95-3.05
Tb  0.8079  0.4200  0.9149  2 Ru 2.73-3.02, 2 Ga 2.90-3.00
Tb  0.8475  0.6172  0.5253  3 Ru 2.86-3.15, 1 Ga 2.93
Ga  0.4341  0.5171  0.7303  2 Ru 2.70-2.92, 4 Tb 2.94-3.00
Ga  0.7517  0.2233  0.1998  1 Ru 2.72, 5 Tb 2.90-3.05
Ru  0.0576  0.8150  0.2994  7 Tb 2.76-3.06
Ru  0.1855  0.6388  0.9167  1 Ga 2.70, 3 Tb 2.73-2.92
Ru  0.4362  0.3467  0.0459  2 Ga 2.72-2.92, 4 Tb 2.77-3.02
Ru  0.6721  0.9261  0.6251  5 Tb 2.76-2.89

Output
E above lowest polymorph = 2.5 meV/atom

Material: Tb2Ga2Ru
Method: DFT, GGA-PBE
State: relaxed

a b c (Å): 4.4447 13.8332 7.5056
angles (deg): 90.00 90.00 90.00
Closest atoms and distances in Å follow each position.
Space group Cmc2_1 (No. 36)
Symmetry-distinct sites (fractional):
Tb  0.0000  0.0265  0.0000  6 Ga 2.90-3.19, 2 Ru 2.91
Tb  0.0000  0.2397  0.3536  5 Ga 2.83-3.15, 1 Ru 2.89
Ga  0.0000  0.1590  0.7008  2 Ru 2.48
Ga  0.0000  0.4172  0.7872  2 Ru 2.61-2.62
Ru  0.0000  0.4127  0.1365  4 Ga 2.48-2.62

Output
E above lowest polymorph = 166.3 meV/atom

Material: Tb6Ga2Ru
Method: DFT, GGA-PBE
State: relaxed

a b c (Å): 5.9926 8.6724 10.3117
angles (deg): 90.00 117.41 90.00
Closest atoms and distances in Å follow each position.
Space group P2_1/c (No. 14)
Symmetry-distinct sites (fractional):
Tb  0.0648  0.1773  0.4659  1 Ru 2.87, 2 Ga 2.94-3.00
Tb  0.3471  0.6765  0.4455  1 Ru 2.84, 2 Ga 2.98-3.12
Tb  0.3754  0.0327  0.2693  1 Ru 2.67
Ga  0.1533  0.1115  0.7714  6 Tb 2.94-3.29, 1 Ru 3.05
Ru  0.0000  0.0000  0.0000  6 Tb 2.67-2.87

Output
energy = -5.122 eV per atom

Material: TbGa4Ru3
Method: DFT, GGA-PBE
State: relaxed

a b c (Å): 8.7979 6.5592 4.4171
angles (deg): 90.00 90.00 90.00
Closest atoms and distances in Å follow each position.
Space group Pmma (No. 51)
Symmetry-distinct sites (fractional):
Tb  0.0000  0.0000  0.0000  8 Ga 2.90, 4 Ru 3.02-3.21
Ga  0.0000  0.2858  0.5000  6 Ru 2.61-2.89, 1 Ga 2.81, 2 Tb 2.90
Ga  0.2500  0.2869  0.0105  5 Ru 2.61-2.77, 1 Ga 2.80, 2 Tb 2.90
Ru  0.0000  0.5000  0.0000  8 Ga 2.61-2.62
Ru  0.2500  0.0000  0.4694  8 Ga 2.77-3.04, 2 Tb 3.02
Ru  0.2500  0.5000  0.5109  8 Ga 2.61-2.62

Output
energy = -5.901 eV per atom